1.
VASP calculation (PBE) on crystalline Li2TaRu at its relaxed geometry.

Cell lengths 2.921, 4.394, 9.724 Å; angles 90.00, 90.00, 90.00 degrees
Space group Cmmm (No. 65)
Asymmetric unit:
Li 0.000 0.000 0.228 x4
Ta 0.000 0.500 0.500 x2
Ru 0.000 0.500 0.000 x2

Values from the calculation:
E: -5.9250 eV per atom
Crystal system: orthorhombic
Energy of formation: 0.31 eV per atom
ρ: 7.9 Mg/m³
ΔE to the lowest computed polymorph: 0.225 eV/atom

---

2.
VASP calculation (PBE) on crystalline Y2Cr at its relaxed geometry.

Cell lengths 6.444, 7.425, 3.428 Å; angles 90.00, 90.00, 90.00 degrees
Space group Pnnm (No. 58)
Asymmetric unit:
Y 0.143 0.211 0.000 x4
Cr 0.000 0.500 0.500 x2

Values from the calculation:
E: -7.0162 eV per atom
Crystal system: orthorhombic
Energy of formation: 0.50 eV per atom
ρ: 4.7 Mg/m³

---

3.
VASP calculation (PBE) on crystalline TiPHRu at its relaxed geometry.

Cell lengths 3.841, 3.841, 6.211 Å; angles 90.00, 90.00, 90.00 degrees
Space group P4/nmm (No. 129, origin choice 2)
Asymmetric unit:
Ti 0.250 0.250 0.133 x2
P 0.250 0.250 0.713 x2
H 0.250 0.750 0.000 x2
Ru 0.250 0.750 0.500 x2

Values from the calculation:
E: -7.0532 eV per atom
Crystal system: tetragonal
ρ: 6.6 Mg/m³

---

4.
VASP calculation (PBE) on crystalline NaEuBr2 at its relaxed geometry.

Cell lengths 4.4039, 4.4039, 30.0868 Å; angles 90.00, 90.00, 120.00 degrees
Space group R-3m (No. 166, hexagonal axes)
Asymmetric unit:
Na 0.0000 0.0000 0.0000 x3
Eu 0.0000 0.0000 0.5000 x3
Br 0.0000 0.0000 0.1107 x6

Values from the calculation:
E: -5.1665 eV per atom
Crystal system: trigonal
Formation energy from raw total energies: -1432 meV per atom
ρ: 3.3 Mg/m³

---

5.
VASP calculation (PBE) on crystalline PrHg2S at its relaxed geometry.

Cell lengths 3.8678, 3.8678, 28.4986 Å; angles 90.00, 90.00, 120.00 degrees
Space group R-3m (No. 166, hexagonal axes)
Asymmetric unit:
Pr 0.0000 0.0000 0.0000 x3
Hg 0.0000 0.0000 0.1086 x6
S 0.0000 0.0000 0.5000 x3

Values from the calculation:
E: -2.2049 eV per atom
Crystal system: trigonal
Formation energy from raw total energies: 173 meV per atom
ρ: 7.7 Mg/m³

---

6.
VASP calculation (PBE) on crystalline Pm2SO4F2 at its relaxed geometry.

Cell lengths 6.280, 5.739, 7.701 Å; angles 90.00, 90.11, 90.00 degrees
Space group C2/m (No. 12)
Asymmetric unit:
Pm 0.122 0.000 0.231 x4
S 0.000 0.500 0.500 x2
O 0.087 0.288 0.647 x8
F 0.202 0.000 0.943 x4

Values from the calculation:
E: -6.6226 eV per atom
Crystal system: monoclinic
Formation energy from raw total energies: -2489 meV per atom
ρ: 5.1 Mg/m³

---

Q: E of number 5 (PrHg2S)?
A: -2.2049 eV per atom

---

Q: The lowest E belongs to which entry?
A: TiPHRu

---

Q: The highest E belongs to which entry?
A: PrHg2S

---

Q: Among the records above, which one has the highest ρ?
A: Li2TaRu